1.
Y2TlCuGe after structural relaxation. Source: Alexandria, functional PBE.

```
Y2TlCuGe
1.0
-1.802 -4.742 2.565
-0.871 -1.957 -4.230
5.289 -2.079 -0.127
Cu Tl Ge Y
1 1 1 2
direct
0.000 0.500 0.000
0.000 0.000 0.000
0.500 0.500 0.500
0.500 0.000 0.000
0.000 0.000 0.500
```

Values from the calculation:
* crystal system: tetragonal
* ΔH_f (0 K): 0.469 eV per atom
* calculated total energy: -21.7 eV for the cell shown
* D(E_F): 4.28 states/eV/cell
* SG: P4/mmm, No. 123
* ρ: 5.6 g/cm³
* magnetization: 0.00 μB per formula unit

***

2.
TlZnCuGe2 after structural relaxation. Source: Alexandria, functional PBE.

```
TlZnCuGe2
1.0
-4.790 -0.592 -2.354
-1.195 -3.633 3.345
-2.073 3.707 3.286
Tl Cu Ge Zn
1 1 2 1
direct
0.000 0.000 0.000
0.500 0.500 0.500
0.000 0.000 0.500
0.500 0.000 0.000
0.000 0.500 0.000
```

Values from the calculation:
* crystal system: tetragonal
* ΔH_f (0 K): 1.173 eV per atom
* calculated total energy: -11.1 eV for the cell shown
* D(E_F): 1.70 states/eV/cell
* SG: P4/mmm, No. 123
* ρ: 5.4 g/cm³
* magnetization: 0.00 μB per formula unit

***

3.
ZrTlCuGe2 after structural relaxation. Source: Alexandria, functional PBE.

```
ZrTlCuGe2
1.0
-2.007 -0.675 -4.047
-4.592 -0.811 2.412
-0.936 4.462 -0.280
Tl Ge Zr Cu
1 2 1 1
direct
0.500 0.500 0.500
0.500 0.000 0.000
0.000 0.000 0.500
0.000 0.500 0.000
0.000 0.000 0.000
```

Values from the calculation:
* crystal system: tetragonal
* ΔH_f (0 K): 0.313 eV per atom
* calculated total energy: -22.7 eV for the cell shown
* D(E_F): 2.48 states/eV/cell
* SG: P4/mmm, No. 123
* ρ: 7.6 g/cm³
* magnetization: 0.00 μB per formula unit

***

4.
TmCu2Ge after structural relaxation. Source: Alexandria, functional PBE.

```
TmCu2Ge
1.0
-0.793 2.214 3.865
1.883 -1.434 3.856
3.300 2.417 1.941
Tm Cu Ge
1 2 1
direct
0.000 0.000 0.000
0.250 0.250 0.251
0.750 0.750 0.749
0.500 0.500 0.500
```

Values from the calculation:
* crystal system: cubic
* ΔH_f (0 K): -0.295 eV per atom
* calculated total energy: -18.5 eV for the cell shown
* D(E_F): 1.30 states/eV/cell
* SG: Fm-3m, No. 225
* ρ: 9.3 g/cm³
* magnetization: 0.00 μB per formula unit

***

5.
Tm4CuGe3 after structural relaxation. Source: Alexandria, functional PBE.

```
Tm4CuGe3
1.0
4.150 0.000 0.000
0.000 3.961 0.000
0.000 0.000 10.634
Ge Tm Cu
3 4 1
direct
0.000 0.500 0.588
0.000 0.000 0.416
0.500 0.000 0.922
0.000 0.000 0.138
0.500 0.000 0.639
0.500 0.500 0.359
0.000 0.500 0.863
0.500 0.500 0.074
```

Values from the calculation:
* crystal system: orthorhombic
* ΔH_f (0 K): -0.709 eV per atom
* calculated total energy: -41.5 eV for the cell shown
* D(E_F): 5.72 states/eV/cell
* SG: Pmm2, No. 25
* ρ: 9.1 g/cm³
* magnetization: 0.00 μB per formula unit

***

6.
TmCu3Ge2 after structural relaxation. Source: Alexandria, functional PBE.

```
TmCu3Ge2
1.0
-2.769 1.191 2.793
-3.662 -5.130 -1.444
6.258 -2.359 4.188
Cu Ge Tm
6 4 2
direct
0.070 0.680 0.140
0.362 0.500 0.723
0.308 0.093 0.616
0.930 0.320 0.860
0.692 0.907 0.384
0.638 0.500 0.277
0.231 0.693 0.463
0.769 0.307 0.537
0.483 0.193 0.967
0.517 0.807 0.033
0.878 0.825 0.756
0.122 0.175 0.244
```

Values from the calculation:
* crystal system: monoclinic
* ΔH_f (0 K): -0.343 eV per atom
* calculated total energy: -56.1 eV for the cell shown
* D(E_F): 4.11 states/eV/cell
* SG: C2/m, No. 12
* ρ: 8.8 g/cm³
* magnetization: 0.00 μB per formula unit

***

7.
TmCu2Ge2 after structural relaxation. Source: Alexandria, functional PBE.

```
TmCu2Ge2
1.0
1.861 -0.165 5.448
1.791 4.907 2.427
-4.569 -1.841 -2.985
Tm Ge Cu
1 2 2
direct
0.000 0.000 0.000
0.250 0.750 0.500
0.750 0.250 0.500
0.618 0.618 0.000
0.382 0.382 0.000
```

Values from the calculation:
* crystal system: tetragonal
* ΔH_f (0 K): -0.316 eV per atom
* calculated total energy: -23.5 eV for the cell shown
* D(E_F): 1.51 states/eV/cell
* SG: I4/mmm, No. 139
* ρ: 8.5 g/cm³
* magnetization: 0.00 μB per formula unit

***

8.
Tm3CuGe2 after structural relaxation. Source: Alexandria, functional PBE.

```
Tm3CuGe2
1.0
-2.238 -1.265 3.281
-5.991 -6.772 -6.696
7.339 -8.284 1.812
Ge Tm Cu
8 12 4
direct
0.250 0.497 0.811
0.750 0.185 0.018
0.250 0.003 0.311
0.750 0.315 0.518
0.750 0.997 0.689
0.250 0.685 0.482
0.250 0.815 0.982
0.750 0.503 0.189
0.250 0.802 0.713
0.250 0.698 0.213
0.250 0.124 0.558
0.750 0.938 0.125
0.750 0.198 0.287
0.750 0.624 0.942
0.250 0.438 0.375
0.250 0.376 0.058
0.750 0.876 0.442
0.750 0.562 0.625
0.750 0.302 0.787
0.250 0.062 0.875
0.250 0.136 0.132
0.750 0.864 0.868
0.250 0.364 0.632
0.750 0.636 0.368
```

Values from the calculation:
* crystal system: orthorhombic
* ΔH_f (0 K): -0.713 eV per atom
* calculated total energy: -124.1 eV for the cell shown
* D(E_F): 15.01 states/eV/cell
* SG: Pnma, No. 62
* ρ: 9.0 g/cm³
* magnetization: 0.00 μB per formula unit